This record from Alexandria describes an optimized crystal structure of Er4Tm5Th. The functional is PBE-GGA.

```
Er4Tm5Th
1.0
-1.349 -5.642 -2.458
-3.350 -4.906 5.027
-7.090 -0.438 -3.178
Th Er Tm
1 4 5
direct
0.225 0.000 0.000
0.102 0.295 0.400
0.501 0.600 0.295
0.797 0.705 0.600
0.397 0.400 0.705
0.714 0.093 0.377
0.692 0.000 0.000
0.807 0.377 0.907
0.091 0.623 0.093
0.184 0.907 0.623
```

Symmetry ... I4
Calculated total energy ... -0.1641 hartree per atom
Energy of formation ... 0.338 eV per atom